No. 1
{"formula": "CrTc2Ni", "functional": "meta-GGA SCAN", "state": "PBEsol geometry", "lattice": [[2.617, 0.000, 0.000], [0.000, 3.710, 0.000], [0.000, 0.000, 5.145]], "species": ["Cr", "Tc", "Tc", "Ni"], "frac_coords": [[0.000, 0.000, 0.000], [0.000, 0.000, 0.481], [0.500, 0.500, 0.745], [0.500, 0.500, 0.233]], "e_tot_ev_per_atom": -26.040, "delta_e_f_ev_per_fu": 0.519}


No. 2
{"formula": "TbSi2RuRh", "functional": "meta-GGA SCAN", "state": "PBEsol geometry", "lattice": [[-2.039, 2.039, 4.842], [2.039, -2.039, 4.842], [2.039, 2.039, -4.842]], "species": ["Tb", "Si", "Si", "Ru", "Rh"], "frac_coords": [[0.000, 0.000, 0.000], [0.373, 0.373, 0.000], [0.627, 0.627, 0.000], [0.250, 0.750, 0.500], [0.750, 0.250, 0.500]], "raw_formation_energy_ev_per_fu": -5.75, "e_tot_ev_per_atom": -28.228}


No. 3
{"formula": "ZnAs2Ru", "functional": "meta-GGA SCAN", "state": "PBEsol geometry", "lattice": [[2.687, -3.591, 0.000], [2.687, 3.591, 0.000], [0.000, 0.000, 3.141]], "species": ["Zn", "As", "As", "Ru"], "frac_coords": [[0.000, 0.000, 0.000], [0.000, 0.500, 0.500], [0.500, 0.000, 0.500], [0.500, 0.500, 0.000]], "e_tot_ev_per_atom": -22.000, "delta_e_f_ev_per_fu": 0.722}


No. 4
{"formula": "Cr2HgIr", "functional": "meta-GGA SCAN", "state": "PBEsol geometry", "lattice": [[4.465, -1.413, 0.000], [4.465, 1.413, 0.000], [-0.888, 0.000, 4.680]], "species": ["Cr", "Cr", "Hg", "Ir"], "frac_coords": [[0.242, 0.242, 0.173], [0.758, 0.758, 0.827], [0.000, 0.000, 0.500], [0.500, 0.500, 0.000]], "e_tot_ev_per_atom": -43.590, "delta_e_f_ev_per_fu": 1.676}


No. 5
{"formula": "K2LiPb", "functional": "meta-GGA SCAN", "state": "PBEsol geometry", "lattice": [[4.517, 0.000, 0.000], [0.000, 5.308, 0.000], [-2.239, 0.000, 6.620]], "species": ["K", "K", "Li", "Pb"], "frac_coords": [[0.000, 0.000, 0.000], [0.316, 0.500, 0.636], [0.636, 0.500, 0.272], [0.708, 0.000, 0.421]], "e_tot_ev_per_atom": -23.860, "delta_e_f_ev_per_fu": -0.612}


No. 6
{"formula": "LiLaNb2O7", "functional": "meta-GGA SCAN", "state": "PBEsol geometry", "lattice": [[-1.942, 1.942, 9.837], [1.942, -1.942, 9.837], [1.942, 1.942, -9.837]], "species": ["Li", "La", "Nb", "Nb", "O", "O", "O", "O", "O", "O", "O"], "frac_coords": [[0.000, 0.000, 0.000], [0.750, 0.250, 0.500], [0.134, 0.634, 0.500], [0.366, 0.866, 0.500], [0.043, 0.543, 0.500], [0.156, 0.156, 0.000], [0.250, 0.750, 0.500], [0.341, 0.341, 0.000], [0.457, 0.957, 0.500], [0.659, 0.659, 0.000], [0.844, 0.844, 0.000]], "raw_formation_energy_ev_per_fu": -32.71, "e_tot_ev_per_atom": -17.099}


No. 7
{"formula": "ScNiBr2", "functional": "meta-GGA SCAN", "state": "PBEsol geometry", "lattice": [[4.482, 0.000, 0.000], [0.000, 4.482, 0.000], [0.000, 0.000, 3.442]], "species": ["Sc", "Ni", "Br", "Br"], "frac_coords": [[0.000, 0.000, 0.000], [0.500, 0.500, 0.000], [0.000, 0.500, 0.500], [0.500, 0.000, 0.500]], "raw_formation_energy_ev_per_fu": -1.09, "e_tot_ev_per_atom": -17.604}


No. 8
{"formula": "Mg2InAs", "functional": "meta-GGA SCAN", "state": "PBEsol geometry", "lattice": [[1.593, 0.920, 9.938], [-1.593, 0.920, 9.938], [0.000, -1.840, 9.938]], "species": ["Mg", "Mg", "In", "As"], "frac_coords": [[0.000, 0.000, 0.000], [0.247, 0.247, 0.247], [0.754, 0.754, 0.754], [0.508, 0.508, 0.508]], "e_tot_ev_per_atom": -15.838, "delta_e_f_ev_per_fu": 0.171}


No. 9
{"formula": "HgSb", "functional": "meta-GGA SCAN", "state": "PBEsol geometry", "lattice": [[3.042, 0.000, 0.000], [0.000, 6.087, 0.000], [-0.012, 0.000, 5.835]], "species": ["Hg", "Hg", "Sb", "Sb"], "frac_coords": [[0.000, 0.250, 0.000], [0.000, 0.750, 0.000], [0.000, 0.250, 0.500], [0.000, 0.750, 0.500]], "raw_formation_energy_ev_per_fu": 0.02, "e_tot_ev_per_atom": -52.702}


No. 10
{"formula": "LiBe2Cr", "functional": "meta-GGA SCAN", "state": "PBEsol geometry", "lattice": [[0.000, 2.739, 2.739], [2.739, 0.000, 2.739], [2.739, 2.739, 0.000]], "species": ["Li", "Be", "Be", "Cr"], "frac_coords": [[0.000, 0.000, 0.000], [0.250, 0.250, 0.250], [0.750, 0.750, 0.750], [0.500, 0.500, 0.500]], "e_tot_ev_per_atom": -7.167, "delta_e_f_ev_per_fu": 0.814}


No. 11
{"formula": "Lu2ZnIr", "functional": "meta-GGA SCAN", "state": "PBEsol geometry", "lattice": [[0.000, 3.354, 3.354], [3.354, 0.000, 3.354], [3.354, 3.354, 0.000]], "species": ["Lu", "Lu", "Zn", "Ir"], "frac_coords": [[0.250, 0.250, 0.250], [0.750, 0.750, 0.750], [0.000, 0.000, 0.000], [0.500, 0.500, 0.500]], "e_tot_ev_per_atom": -49.699, "delta_e_f_ev_per_fu": -3.494}


No. 12
{"formula": "Cd2PtW", "functional": "meta-GGA SCAN", "state": "PBEsol geometry", "lattice": [[0.000, 3.247, 3.247], [3.247, 0.000, 3.247], [3.247, 3.247, 0.000]], "species": ["Cd", "Cd", "Pt", "W"], "frac_coords": [[0.000, 0.000, 0.000], [0.250, 0.250, 0.250], [0.500, 0.500, 0.500], [0.750, 0.750, 0.750]], "e_tot_ev_per_atom": -49.697, "delta_e_f_ev_per_fu": 1.923}


No. 13
{"formula": "TaTl2Br", "functional": "meta-GGA SCAN", "state": "PBEsol geometry", "lattice": [[0.000, 3.586, 3.586], [3.586, 0.000, 3.586], [3.586, 3.586, 0.000]], "species": ["Ta", "Tl", "Tl", "Br"], "frac_coords": [[0.000, 0.000, 0.000], [0.500, 0.500, 0.500], [0.750, 0.750, 0.750], [0.250, 0.250, 0.250]], "raw_formation_energy_ev_per_fu": 3.51, "e_tot_ev_per_atom": -56.811}


No. 14
{"formula": "Ba8Re2W3O24", "functional": "meta-GGA SCAN", "state": "PBEsol geometry", "lattice": [[2.863, 1.653, 18.896], [-2.863, 1.653, 18.896], [0.000, -3.306, 18.896]], "species": ["Ba", "Ba", "Ba", "Ba", "Ba", "Ba", "Ba", "Ba", "Re", "Re", "W", "W", "W", "O", "O", "O", "O", "O", "O", "O", "O", "O", "O", "O", "O", "O", "O", "O", "O", "O", "O", "O", "O", "O", "O", "O", "O"], "frac_coords": [[0.114, 0.114, 0.114], [0.185, 0.185, 0.185], [0.271, 0.271, 0.271], [0.351, 0.351, 0.351], [0.649, 0.649, 0.649], [0.729, 0.729, 0.729], [0.815, 0.815, 0.815], [0.886, 0.886, 0.886], [0.039, 0.039, 0.039], [0.961, 0.961, 0.961], [0.418, 0.418, 0.418], [0.500, 0.500, 0.500], [0.582, 0.582, 0.582], [0.112, 0.592, 0.592], [0.134, 0.134, 0.665], [0.134, 0.665, 0.134], [0.199, 0.679, 0.679], [0.224, 0.224, 0.730], [0.224, 0.730, 0.224], [0.270, 0.776, 0.776], [0.321, 0.321, 0.801], [0.321, 0.801, 0.321], [0.335, 0.866, 0.866], [0.408, 0.408, 0.888], [0.408, 0.888, 0.408], [0.592, 0.112, 0.592], [0.592, 0.592, 0.112], [0.665, 0.134, 0.134], [0.679, 0.199, 0.679], [0.679, 0.679, 0.199], [0.730, 0.224, 0.224], [0.776, 0.270, 0.776], [0.776, 0.776, 0.270], [0.801, 0.321, 0.321], [0.866, 0.335, 0.866], [0.866, 0.866, 0.335], [0.888, 0.408, 0.408]], "raw_formation_energy_ev_per_fu": -97.10, "e_tot_ev_per_atom": -24.711}


No. 15
{"formula": "KBaNi", "functional": "meta-GGA SCAN", "state": "PBEsol geometry", "lattice": [[0.000, 3.722, 3.722], [3.722, 0.000, 3.722], [3.722, 3.722, 0.000]], "species": ["K", "Ba", "Ni"], "frac_coords": [[0.000, 0.000, 0.000], [0.500, 0.500, 0.500], [0.750, 0.750, 0.750]], "e_tot_ev_per_atom": -20.861, "delta_e_f_ev_per_fu": 1.469}


No. 16
{"formula": "ZrPt2W", "functional": "meta-GGA SCAN", "state": "PBEsol geometry", "lattice": [[1.416, 0.817, 9.489], [-1.416, 0.817, 9.489], [0.000, -1.635, 9.489]], "species": ["Zr", "Pt", "Pt", "W"], "frac_coords": [[0.000, 0.000, 0.000], [0.499, 0.499, 0.499], [0.749, 0.749, 0.749], [0.241, 0.241, 0.241]], "e_tot_ev_per_atom": -60.302, "delta_e_f_ev_per_fu": -0.436}


No. 17
{"formula": "Tl2PAu2", "functional": "meta-GGA SCAN", "state": "PBEsol geometry", "lattice": [[-1.865, 1.865, 7.999], [1.865, -1.865, 7.999], [1.865, 1.865, -7.999]], "species": ["Tl", "Tl", "P", "Au", "Au"], "frac_coords": [[0.097, 0.097, 0.000], [0.903, 0.903, 0.000], [0.500, 0.500, 0.000], [0.250, 0.750, 0.500], [0.750, 0.250, 0.500]], "e_tot_ev_per_atom": -58.432, "delta_e_f_ev_per_fu": 1.267}


No. 18
{"formula": "BaTaOs", "functional": "meta-GGA SCAN", "state": "PBEsol geometry", "lattice": [[4.224, 0.000, 0.000], [-2.112, 3.658, 0.000], [0.000, 0.000, 5.500]], "species": ["Ba", "Ta", "Os"], "frac_coords": [[0.000, 0.000, 0.000], [0.667, 0.333, 0.500], [0.333, 0.667, 0.500]], "e_tot_ev_per_atom": -58.839, "delta_e_f_ev_per_fu": 1.495}


No. 19
{"formula": "ScIn2Au", "functional": "meta-GGA SCAN", "state": "PBEsol geometry", "lattice": [[0.000, 3.431, 3.431], [3.431, 0.000, 3.431], [3.431, 3.431, 0.000]], "species": ["Sc", "In", "In", "Au"], "frac_coords": [[0.000, 0.000, 0.000], [0.250, 0.250, 0.250], [0.750, 0.750, 0.750], [0.500, 0.500, 0.500]], "e_tot_ev_per_atom": -37.849, "delta_e_f_ev_per_fu": -1.229}


No. 20
{"formula": "Sc2NiB2Ir5", "functional": "meta-GGA SCAN", "state": "PBEsol geometry", "lattice": [[9.255, 0.000, 0.000], [0.000, 9.255, 0.000], [0.000, 0.000, 3.011]], "species": ["Sc", "Sc", "Sc", "Sc", "Ni", "Ni", "B", "B", "B", "B", "Ir", "Ir", "Ir", "Ir", "Ir", "Ir", "Ir", "Ir", "Ir", "Ir"], "frac_coords": [[0.177, 0.323, 0.000], [0.323, 0.823, 0.000], [0.677, 0.177, 0.000], [0.823, 0.677, 0.000], [0.000, 0.000, 0.000], [0.500, 0.500, 0.000], [0.126, 0.626, 0.000], [0.374, 0.126, 0.000], [0.626, 0.874, 0.000], [0.874, 0.374, 0.000], [0.000, 0.500, 0.500], [0.069, 0.786, 0.500], [0.214, 0.069, 0.500], [0.286, 0.569, 0.500], [0.431, 0.286, 0.500], [0.500, 0.000, 0.500], [0.569, 0.714, 0.500], [0.714, 0.431, 0.500], [0.786, 0.931, 0.500], [0.931, 0.214, 0.500]], "e_tot_ev_per_atom": -42.328, "delta_e_f_ev_per_fu": -8.279}